KCrCuS2: relaxed, PBE-GGA.

Uncorrected energy, eV per formula unit: -26.11
Total magnetization, μB per atom: 0.41

Lattice parameters (Å, degrees): 5.3761 5.5175 7.3566 112.02 90.00 90.00
Site moments in Bohr magnetons follow the coordinates.
Fractional coordinates of all 10 atoms:
Cu (0.0000, 0.0000, 0.0000)  0.05
Cu (0.0000, 0.5000, 0.0000)  0.05
S (0.2968, 0.3914, 0.7829)  -0.02
S (0.2968, 0.1086, 0.2171)  -0.02
S (0.7032, 0.8914, 0.7829)  -0.02
S (0.7032, 0.6086, 0.2171)  -0.02
Cr (0.5000, 0.7500, 0.0000)  1.78
Cr (0.5000, 0.2500, 0.0000)  1.78
K (0.7682, 0.2500, 0.5000)  0.00
K (0.2318, 0.7500, 0.5000)  0.00

KCrCuSe3: relaxed, PBE-GGA.

Uncorrected energy, eV per formula unit: -29.14
Total magnetization, μB per atom: 0.38

Lattice parameters (Å, degrees): 3.7665 8.5363 9.5699 113.93 90.00 90.00
Site moments in Bohr magnetons follow the coordinates.
Fractional coordinates of all 12 atoms:
K (0.2500, 0.2301, 0.2569)  0.00
K (0.7500, 0.7699, 0.7431)  0.00
Se (0.7500, 0.2359, 0.5575)  -0.12
Se (0.2500, 0.5287, 0.8650)  -0.15
Se (0.7500, 0.4713, 0.1350)  -0.15
Se (0.2500, 0.7641, 0.4425)  -0.12
Se (0.2500, 0.1260, 0.8644)  -0.11
Se (0.7500, 0.8740, 0.1356)  -0.11
Cr (0.7500, 0.3179, 0.8452)  2.73
Cr (0.2500, 0.6821, 0.1548)  2.73
Cu (0.7500, 0.9208, 0.3984)  -0.09
Cu (0.2500, 0.0792, 0.6016)  -0.09

K2CrCu2Se4: relaxed, PBE-GGA.

Uncorrected energy, eV per formula unit: -39.80
Total magnetization, μB per atom: 0.29

Lattice parameters (Å, degrees): 3.8749 7.7320 7.5105 108.41 104.95 90.00
Site moments in Bohr magnetons follow the coordinates.
Fractional coordinates of all 9 atoms:
Se (0.1889, 0.1772, 0.3778)  -0.08
Se (0.5158, 0.7868, 0.0317)  -0.09
Se (0.8111, 0.8228, 0.6222)  -0.08
Se (0.4842, 0.2132, 0.9683)  -0.09
Cu (0.6867, 0.9837, 0.3733)  -0.05
Cu (0.3133, 0.0163, 0.6267)  -0.05
K (0.8681, 0.4360, 0.7362)  0.00
K (0.1319, 0.5640, 0.2638)  0.00
Cr (0.0000, 0.0000, 0.0000)  2.97